# 1
This record from the Alexandria database describes a geometry-optimized SrPm2In9 structure. The functional is PBE-GGA.

## Properties
The mass density is 7.28 g/cm3. Its final energy is -3.39 eV/atom. Its symmetry is P4/mmm. For the magnetic moment, the calculation gives 0.00 Bohr magnetons per cell.

```
SrPm2In9
1.0
4.7499 0.0000 0.0000
0.0000 4.7499 0.0000
0.0000 0.0000 14.2736
Sr Pm In
1 2 9
Direct
0.0000 0.0000 0.0000
0.0000 0.0000 0.3388
0.0000 0.0000 0.6612
0.0000 0.5000 0.1723
0.0000 0.5000 0.5000
0.0000 0.5000 0.8277
0.5000 0.0000 0.1723
0.5000 0.0000 0.5000
0.5000 0.0000 0.8277
0.5000 0.5000 0.0000
0.5000 0.5000 0.3350
0.5000 0.5000 0.6650
```

=====

# 2
This record from the Alexandria database describes a geometry-optimized SrPm5In6 structure. The functional is PBE-GGA.

## Properties
The mass density is 7.11 g/cm3. Its final energy is -3.96 eV/atom. Its symmetry is Immm. For the magnetic moment, the calculation gives 0.00 Bohr magnetons per cell.

```
SrPm5In6
1.0
-2.7491 3.8607 8.2586
2.7491 -3.8607 8.2586
2.7491 3.8607 -8.2586
Sr Pm In
1 5 6
Direct
0.0000 0.0000 0.0000
0.1597 0.6597 0.5000
0.3298 0.3298 0.0000
0.5000 0.0000 0.5000
0.6702 0.6702 0.0000
0.8403 0.3403 0.5000
0.0877 0.8305 0.2572
0.2647 0.5000 0.7647
0.4268 0.1695 0.2572
0.5732 0.8305 0.7428
0.7353 0.5000 0.2353
0.9123 0.1695 0.7428
```

=====

# 3
This record from the Alexandria database describes a geometry-optimized SrPm4In4 structure. The functional is PBE-GGA.

## Properties
The mass density is 6.69 g/cm3. Its final energy is -3.76 eV/atom. Its symmetry is P4_2/n. For the magnetic moment, the calculation gives 0.00 Bohr magnetons per cell.

```
SrPm4In4
1.0
9.5073 0.0000 0.0000
0.0000 9.5073 0.0000
0.0000 0.0000 6.1851
Sr Pm In
2 8 8
Direct
0.2500 0.2500 0.2500
0.7500 0.7500 0.7500
0.0935 0.8278 0.6276
0.1722 0.5935 0.1276
0.3278 0.9065 0.1276
0.4065 0.6722 0.6276
0.5935 0.3278 0.3724
0.6722 0.0935 0.8724
0.8278 0.4065 0.8724
0.9065 0.1722 0.3724
0.0392 0.1396 0.8545
0.1396 0.4608 0.6455
0.3604 0.0392 0.6455
0.4608 0.3604 0.8545
0.5392 0.6396 0.1455
0.6396 0.9608 0.3545
0.8604 0.5392 0.3545
0.9608 0.8604 0.1455
```

=====

# 4
This record from the Alexandria database describes a geometry-optimized SrPm5In3 structure. The functional is PBE-GGA.

## Properties
The mass density is 6.83 g/cm3. Its final energy is -4.08 eV/atom. Its symmetry is P6_3/mcm. For the magnetic moment, the calculation gives 0.01 Bohr magnetons per cell.

```
SrPm5In3
1.0
9.6334 0.0000 0.0000
-4.8167 8.3427 0.0000
0.0000 0.0000 6.9971
Sr Pm In
2 10 6
Direct
0.0000 0.0000 0.0000
0.0000 0.0000 0.5000
0.0000 0.3381 0.2500
0.0000 0.6619 0.7500
0.3333 0.6667 0.0000
0.3333 0.6667 0.5000
0.3381 0.0000 0.2500
0.3381 0.3381 0.7500
0.6619 0.0000 0.7500
0.6619 0.6619 0.2500
0.6667 0.3333 0.0000
0.6667 0.3333 0.5000
0.0000 0.3335 0.7500
0.0000 0.6665 0.2500
0.3335 0.0000 0.7500
0.3335 0.3335 0.2500
0.6665 0.0000 0.2500
0.6665 0.6665 0.7500
```

=====

# 5
This record from the Alexandria database describes a geometry-optimized SrPm3In2 structure. The functional is PBE-GGA.

## Properties
The mass density is 6.56 g/cm3. Its final energy is -3.90 eV/atom. Its symmetry is Pmc2_1. For the magnetic moment, the calculation gives 0.34 Bohr magnetons per cell.

```
SrPm3In2
1.0
5.5723 0.0000 0.0000
0.0000 9.6851 0.0000
0.0000 0.0000 7.0603
Sr Pm In
2 6 4
Direct
0.0000 0.0088 0.0000
0.0000 0.9912 0.5000
0.0000 0.3381 0.7382
0.0000 0.6619 0.2382
0.5000 0.1726 0.2597
0.5000 0.4925 0.9974
0.5000 0.5075 0.4974
0.5000 0.8274 0.7597
0.0000 0.3366 0.2472
0.0000 0.6634 0.7472
0.5000 0.1698 0.7508
0.5000 0.8302 0.2508
```

=====

# 6
This record from the Alexandria database describes a geometry-optimized SrPmIn4 structure. The functional is PBE-GGA.

## Properties
The mass density is 6.90 g/cm3. Its final energy is -3.27 eV/atom. Its symmetry is F-43m. For the magnetic moment, the calculation gives 0.00 Bohr magnetons per cell.

```
SrPmIn4
1.0
0.0000 4.3666 4.3666
4.3666 0.0000 4.3666
4.3666 4.3666 0.0000
Sr Pm In
1 1 4
Direct
0.0000 0.0000 0.0000
0.7500 0.7500 0.7500
0.3754 0.3754 0.3754
0.3754 0.3754 0.8739
0.3754 0.8739 0.3754
0.8739 0.3754 0.3754
```

=====

# 7
This record from the Alexandria database describes a geometry-optimized SrPmIn4 structure. The functional is PBE-GGA.

## Properties
The mass density is 6.77 g/cm3. Its final energy is -3.31 eV/atom. Its symmetry is P2/m. For the magnetic moment, the calculation gives 0.00 Bohr magnetons per cell.

```
SrPmIn4
1.0
3.8362 0.0000 0.0000
0.0000 5.0363 0.0000
-0.0055 0.0000 8.7874
Sr Pm In
1 1 4
Direct
0.0000 0.0000 0.0000
0.0000 0.5000 0.5000
0.4782 0.0000 0.6621
0.4879 0.5000 0.1717
0.5121 0.5000 0.8283
0.5218 0.0000 0.3379
```

=====

# 8
This record from the Alexandria database describes a geometry-optimized Sr2PmInTe5 structure. The functional is PBE-GGA.

## Properties
The mass density is 5.60 g/cm3. Its final energy is -4.20 eV/atom. Its symmetry is Cmc2_1. For the magnetic moment, the calculation gives 0.00 Bohr magnetons per cell. The uncorrected formation energy comes out at -120 kJ/mol of atoms.

```
Sr2PmInTe5
1.0
2.2527 -10.1061 0.0000
2.2527 10.1061 0.0000
0.0000 0.0000 13.9735
Sr Pm In Te
4 2 2 10
Direct
0.1179 0.8821 0.5000
0.1280 0.8720 0.1390
0.8720 0.1280 0.6390
0.8821 0.1179 0.0000
0.2093 0.7907 0.8400
0.7907 0.2093 0.3400
0.4435 0.5565 0.2613
0.5565 0.4435 0.7613
0.0475 0.9525 0.8840
0.2901 0.7099 0.4944
0.3114 0.6886 0.1779
0.3612 0.6388 0.8225
0.4958 0.5042 0.5845
0.5042 0.4958 0.0845
0.6388 0.3612 0.3225
0.6886 0.3114 0.6779
0.7099 0.2901 0.9944
0.9525 0.0475 0.3840
```

=====

# 9
This record from the Alexandria database describes a geometry-optimized Sr2PmInTe4 structure. The functional is PBE-GGA.

## Properties
The mass density is 5.39 g/cm3. Its final energy is -4.25 eV/atom. Its symmetry is P2/m. For the magnetic moment, the calculation gives 0.00 Bohr magnetons per cell. The uncorrected formation energy comes out at -127 kJ/mol of atoms.

```
Sr2PmInTe4
1.0
7.9298 0.0000 0.0000
0.0000 4.6704 0.0000
-2.6714 0.0000 7.8591
Sr Pm In Te
2 1 1 4
Direct
0.0000 0.0000 0.0000
0.0000 0.5000 0.5000
0.5000 0.0000 0.5000
0.5000 0.5000 0.0000
0.2570 0.0000 0.7373
0.2641 0.5000 0.2633
0.7359 0.5000 0.7367
0.7430 0.0000 0.2627
```

=====

# 10
This record from the Alexandria database describes a geometry-optimized SrPmZnIn structure. The functional is PBE-GGA.

## Properties
The mass density is 5.86 g/cm3. Its final energy is -2.92 eV/atom. Its symmetry is F-43m. For the magnetic moment, the calculation gives 0.00 Bohr magnetons per cell.

```
SrPmZnIn
1.0
0.0000 3.8826 3.8826
3.8826 0.0000 3.8826
3.8826 3.8826 0.0000
Sr Pm Zn In
1 1 1 1
Direct
0.0000 0.0000 0.0000
0.5000 0.5000 0.5000
0.2500 0.2500 0.2500
0.7500 0.7500 0.7500
```

=====

# 11
This record from the Alexandria database describes a geometry-optimized SrPmZnIn structure. The functional is PBE-GGA.

## Properties
The mass density is 5.89 g/cm3. Its final energy is -2.96 eV/atom. Its symmetry is P4mm. For the magnetic moment, the calculation gives 0.01 Bohr magnetons per cell.

```
SrPmZnIn
1.0
3.8276 0.0000 0.0000
0.0000 3.8276 0.0000
0.0000 0.0000 7.9412
Sr Pm Zn In
1 1 1 1
Direct
0.0000 0.0000 0.0000
0.0000 0.0000 0.5306
0.5000 0.5000 0.7348
0.5000 0.5000 0.2847
```

=====

# 12
This record from the Alexandria database describes a geometry-optimized PmTaIn structure. The functional is PBE-GGA.

## Properties
The mass density is 10.08 g/cm3. Its final energy is -6.42 eV/atom. Its symmetry is C2/m. For the magnetic moment, the calculation gives 0.57 Bohr magnetons per cell.

```
PmTaIn
1.0
2.8899 -8.2136 0.0000
2.8899 8.2136 0.0000
-0.3848 0.0000 3.0597
Pm Ta In
2 2 2
Direct
0.1771 0.8229 0.0000
0.8229 0.1771 0.0000
0.2067 0.2067 0.7897
0.7933 0.7933 0.2103
0.3686 0.6314 0.5000
0.6314 0.3686 0.5000
```

=====

# 13
This record from the Alexandria database describes a geometry-optimized Tb2Pm6In structure. The functional is PBE-GGA.

## Properties
The mass density is 7.42 g/cm3. Its final energy is -4.60 eV/atom. Its symmetry is C2/c. For the magnetic moment, the calculation gives 0.00 Bohr magnetons per cell.

```
Tb2Pm6In
1.0
10.7401 -3.1509 0.0000
10.7401 3.1509 0.0000
-3.0329 0.0000 8.6140
Tb Pm In
4 12 2
Direct
0.0564 0.3899 0.3042
0.3899 0.0564 0.8042
0.6101 0.9436 0.1958
0.9436 0.6101 0.6958
0.0377 0.7435 0.4718
0.1719 0.5035 0.0859
0.2565 0.9623 0.0282
0.2703 0.6241 0.8647
0.3759 0.7297 0.6353
0.4965 0.8281 0.4141
0.5035 0.1719 0.5859
0.6241 0.2703 0.3647
0.7297 0.3759 0.1353
0.7435 0.0377 0.9718
0.8281 0.4965 0.9141
0.9623 0.2565 0.5282
0.1708 0.8292 0.2500
0.8292 0.1708 0.7500
```

=====

# 14
This record from the Alexandria database describes a geometry-optimized Tb3Pm2In3 structure. The functional is PBE-GGA.

## Properties
The mass density is 8.09 g/cm3. Its final energy is -4.31 eV/atom. Its symmetry is Pmmm. For the magnetic moment, the calculation gives 0.51 Bohr magnetons per cell.

```
Tb3Pm2In3
1.0
4.9402 0.0000 0.0000
0.0000 4.9797 0.0000
0.0000 0.0000 9.2763
Tb Pm In
3 2 3
Direct
0.0000 0.0000 0.0000
0.0000 0.5000 0.2676
0.0000 0.5000 0.7324
0.5000 0.0000 0.2591
0.5000 0.0000 0.7409
0.0000 0.0000 0.5000
0.5000 0.5000 0.0000
0.5000 0.5000 0.5000
```

=====

# 15
This record from the Alexandria database describes a geometry-optimized Tb2Pm3In2 structure. The functional is PBE-GGA.

## Properties
The mass density is 7.67 g/cm3. Its final energy is -4.27 eV/atom. Its symmetry is C2/m. For the magnetic moment, the calculation gives 0.00 Bohr magnetons per cell.

```
Tb2Pm3In2
1.0
8.4854 -1.7626 0.0000
8.4854 1.7626 0.0000
-3.7602 0.0000 7.1127
Tb Pm In
2 3 2
Direct
0.1299 0.1299 0.4711
0.8701 0.8701 0.5289
0.0000 0.0000 0.0000
0.2103 0.2103 0.1300
0.7897 0.7897 0.8700
0.4331 0.4331 0.2651
0.5669 0.5669 0.7349
```

=====

# 16
This record from the Alexandria database describes a geometry-optimized TbPm6In structure. The functional is PBE-GGA.

## Properties
The mass density is 7.39 g/cm3. Its final energy is -4.60 eV/atom. Its symmetry is P4/mmm. For the magnetic moment, the calculation gives 0.00 Bohr magnetons per cell.

```
TbPm6In
1.0
4.9985 0.0000 0.0000
0.0000 4.9985 0.0000
0.0000 0.0000 10.2843
Tb Pm In
1 6 1
Direct
0.0000 0.0000 0.0000
0.0000 0.5000 0.2571
0.0000 0.5000 0.7429
0.5000 0.0000 0.2571
0.5000 0.0000 0.7429
0.5000 0.5000 0.0000
0.5000 0.5000 0.5000
0.0000 0.0000 0.5000
```

=====

# 17
This record from the Alexandria database describes a geometry-optimized Tb4PmIn4 structure. The functional is PBE-GGA.

## Properties
The mass density is 7.35 g/cm3. Its final energy is -3.97 eV/atom. Its symmetry is P4_2/nmc. For the magnetic moment, the calculation gives 0.00 Bohr magnetons per cell.

```
Tb4PmIn4
1.0
7.2575 0.0000 0.0000
0.0000 7.2575 0.0000
0.0000 0.0000 10.6367
Tb Pm In
8 2 8
Direct
0.0198 0.2500 0.1636
0.2500 0.0198 0.6636
0.2500 0.4802 0.6636
0.4802 0.2500 0.1636
0.5198 0.7500 0.8364
0.7500 0.5198 0.3364
0.7500 0.9802 0.3364
0.9802 0.7500 0.8364
0.2500 0.7500 0.2500
0.7500 0.2500 0.7500
0.0340 0.2500 0.4620
0.2500 0.0340 0.9620
0.2500 0.4660 0.9620
0.4660 0.2500 0.4620
0.5340 0.7500 0.5380
0.7500 0.5340 0.0380
0.7500 0.9660 0.0380
0.9660 0.7500 0.5380
```

=====

# 18
This record from the Alexandria database describes a geometry-optimized Tb8PmIn6 structure. The functional is PBE-GGA.

## Properties
The mass density is 7.50 g/cm3. Its final energy is -4.10 eV/atom. Its symmetry is R-3. For the magnetic moment, the calculation gives 0.00 Bohr magnetons per cell.

```
Tb8PmIn6
1.0
4.5479 2.6258 6.5031
-4.5479 2.6258 6.5031
0.0000 -5.2515 6.5031
Tb Pm In
8 1 6
Direct
0.0536 0.3862 0.7196
0.1672 0.1672 0.1672
0.2804 0.9464 0.6138
0.3862 0.7196 0.0536
0.6138 0.2804 0.9464
0.7196 0.0536 0.3862
0.8328 0.8328 0.8328
0.9464 0.6138 0.2804
0.5000 0.5000 0.5000
0.1052 0.7784 0.4414
0.2216 0.5586 0.8948
0.4414 0.1052 0.7784
0.5586 0.8948 0.2216
0.7784 0.4414 0.1052
0.8948 0.2216 0.5586
```

=====

# 19
This record from the Alexandria database describes a geometry-optimized TbPm3In3 structure. The functional is PBE-GGA.

## Properties
The mass density is 7.23 g/cm3. Its final energy is -4.14 eV/atom. Its symmetry is C2/m. For the magnetic moment, the calculation gives 0.01 Bohr magnetons per cell.

```
TbPm3In3
1.0
4.0584 -5.3463 0.0000
4.0584 5.3463 0.0000
-0.2193 0.0000 9.9279
Tb Pm In
2 6 6
Direct
0.2147 0.2147 0.4615
0.7853 0.7853 0.5385
0.0847 0.0847 0.8183
0.2704 0.7296 0.5000
0.3197 0.6803 0.0000
0.6803 0.3197 0.0000
0.7296 0.2704 0.5000
0.9153 0.9153 0.1817
0.0149 0.4562 0.2420
0.4562 0.0149 0.2420
0.4756 0.4756 0.7344
0.5244 0.5244 0.2656
0.5438 0.9851 0.7580
0.9851 0.5438 0.7580
```

=====

# 20
This record from the Alexandria database describes a geometry-optimized Tb3PmIn2 structure. The functional is PBE-GGA.

## Properties
The mass density is 7.95 g/cm3. Its final energy is -4.15 eV/atom. Its symmetry is Pmm2. For the magnetic moment, the calculation gives 0.00 Bohr magnetons per cell.

```
Tb3PmIn2
1.0
3.4413 0.0000 0.0000
0.0000 4.5728 0.0000
0.0000 0.0000 11.3030
Tb Pm In
3 1 2
Direct
0.0000 0.0000 0.0000
0.0000 0.0000 0.2772
0.0000 0.5000 0.7839
0.0000 0.5000 0.5018
0.5000 0.0000 0.6519
0.5000 0.5000 0.1387
```